! GGA-PBE LuPu2Zr, optimized geometry; values from VASP
! **Distance to the lowest polymorph of the same formula**: 0 meV/atom
! **Symmetry**: P4/mmm, No. 123
! **Total energy**: -10.29 eV/atom
! **Energy of formation from the pure elements**: 141.4 meV/atom
&SYSTEM
  ibrav = 0, nat = 4, ntyp = 3
/
ATOMIC_SPECIES
Lu 174.97 Lu.upf
Pu 244.00 Pu.upf
Zr 91.22 Zr.upf
ATOMIC_POSITIONS crystal
Lu 0.000 0.000 0.000
Pu 0.500 0.500 0.263
Pu 0.500 0.500 0.737
Zr 0.000 0.000 0.500
CELL_PARAMETERS angstrom
3.276 0.000 0.000
0.000 3.276 0.000
0.000 0.000 9.632

! GGA-PBE LuPu2Zr, optimized geometry; values from VASP
! **Distance to the lowest polymorph of the same formula**: 16 meV/atom
! **Symmetry**: R-3m, No. 166
! **Total energy**: -10.28 eV/atom
! **Energy of formation from the pure elements**: 157.3 meV/atom
&SYSTEM
  ibrav = 0, nat = 12, ntyp = 3
/
ATOMIC_SPECIES
Lu 174.97 Lu.upf
Pu 244.00 Pu.upf
Zr 91.22 Zr.upf
ATOMIC_POSITIONS crystal
Lu 0.000 0.000 0.000
Lu 0.333 0.667 0.667
Lu 0.667 0.333 0.333
Pu 0.000 0.000 0.247
Pu 0.000 0.000 0.753
Pu 0.333 0.667 0.420
Pu 0.333 0.667 0.913
Pu 0.667 0.333 0.087
Pu 0.667 0.333 0.580
Zr 0.000 0.000 0.500
Zr 0.333 0.667 0.167
Zr 0.667 0.333 0.833
CELL_PARAMETERS angstrom
3.321 0.000 0.000
-1.661 2.876 0.000
0.000 0.000 32.536